Entry 1:
# YZrHg6

YZrHg6 after structural relaxation (PBE-GGA, the Alexandria database).

Cell lengths 4.678, 4.678, 8.514 Å; angles 90.00, 90.00, 90.00 degrees
Sites, in units of the cell vectors:
1 Y 0.000 0.000 0.000
2 Zr 0.000 0.000 0.500
3 Hg 0.000 0.500 0.260
4 Hg 0.000 0.500 0.740
5 Hg 0.500 0.000 0.260
6 Hg 0.500 0.000 0.740
7 Hg 0.500 0.500 0.000
8 Hg 0.500 0.500 0.500

**ΔH_f (0 K)**: -1.45 eV/f.u.
**Spin magnetization**: 0.00 μB/f.u.
**Density of states at the Fermi level**: 7.036 states/eV/cell


Entry 2:
# Y2ZrHg3

Y2ZrHg3 after structural relaxation (PBE-GGA, the Alexandria database).

Cell lengths 3.675, 3.675, 10.855 Å; angles 90.00, 90.00, 90.00 degrees
Sites, in units of the cell vectors:
1 Y 0.000 0.000 0.174
2 Y 0.000 0.000 0.826
3 Zr 0.000 0.000 0.500
4 Hg 0.500 0.500 0.000
5 Hg 0.500 0.500 0.347
6 Hg 0.500 0.500 0.653

**ΔH_f (0 K)**: -2.16 eV/f.u.
**Spin magnetization**: 0.26 μB/f.u.
**Density of states at the Fermi level**: 7.316 states/eV/cell


Entry 3:
# Y3ZrHg4

Y3ZrHg4 after structural relaxation (PBE-GGA, the Alexandria database).

Cell lengths 3.690, 3.690, 14.576 Å; angles 90.00, 90.00, 90.00 degrees
Sites, in units of the cell vectors:
1 Y 0.000 0.000 0.000
2 Y 0.000 0.000 0.259
3 Y 0.000 0.000 0.741
4 Zr 0.000 0.000 0.500
5 Hg 0.500 0.500 0.129
6 Hg 0.500 0.500 0.387
7 Hg 0.500 0.500 0.613
8 Hg 0.500 0.500 0.871

**ΔH_f (0 K)**: -3.17 eV/f.u.
**Spin magnetization**: 0.39 μB/f.u.
**Density of states at the Fermi level**: 9.197 states/eV/cell


Entry 4:
# YZr3Hg

YZr3Hg after structural relaxation (PBE-GGA, the Alexandria database).

Cell lengths 5.210, 5.210, 5.210 Å; angles 90.00, 90.00, 90.00 degrees
Sites, in units of the cell vectors:
1 Y 0.000 0.000 0.000
2 Zr 0.000 0.000 0.500
3 Zr 0.000 0.500 0.000
4 Zr 0.500 0.000 0.000
5 Hg 0.500 0.500 0.500

**ΔH_f (0 K)**: 6.72 eV/f.u.
**Distance to the lowest polymorph of the same formula**: 2.784 eV per formula unit
**Spin magnetization**: 0.79 μB/f.u.
**Density of states at the Fermi level**: 10.250 states/eV/cell


Entry 5:
# Y4ZrHg5

Y4ZrHg5 after structural relaxation (PBE-GGA, the Alexandria database).

Cell lengths 3.697, 3.697, 18.306 Å; angles 90.00, 90.00, 90.00 degrees
Sites, in units of the cell vectors:
1 Y 0.000 0.000 0.103
2 Y 0.000 0.000 0.308
3 Y 0.000 0.000 0.692
4 Y 0.000 0.000 0.897
5 Zr 0.000 0.000 0.500
6 Hg 0.500 0.500 0.000
7 Hg 0.500 0.500 0.206
8 Hg 0.500 0.500 0.410
9 Hg 0.500 0.500 0.590
10 Hg 0.500 0.500 0.794

**ΔH_f (0 K)**: -4.21 eV/f.u.
**Spin magnetization**: 0.37 μB/f.u.
**Density of states at the Fermi level**: 10.985 states/eV/cell


Entry 6:
# Yb6Hg

Yb6Hg after structural relaxation (PBE-GGA, the Alexandria database).

Cell lengths 9.259, 9.259, 9.259 Å; angles 109.47, 109.47, 109.47 degrees
Sites, in units of the cell vectors:
1 Yb 0.250 0.500 0.750
2 Yb 0.250 0.750 0.500
3 Yb 0.500 0.250 0.750
4 Yb 0.500 0.750 0.250
5 Yb 0.750 0.250 0.500
6 Yb 0.750 0.500 0.250
7 Hg 0.000 0.000 0.000

**ΔH_f (0 K)**: 6.14 eV/f.u.
**Spin magnetization**: 0.92 μB/f.u.
**Density of states at the Fermi level**: 109.447 states/eV/cell


Entry 7:
# YbHg2

YbHg2 after structural relaxation (PBE-GGA, the Alexandria database).

Cell lengths 4.999, 4.999, 3.527 Å; angles 90.00, 90.00, 120.00 degrees
Sites, in units of the cell vectors:
1 Yb 0.000 0.000 0.000
2 Hg 0.333 0.667 0.500
3 Hg 0.667 0.333 0.500

**ΔH_f (0 K)**: -1.34 eV/f.u.
**Spin magnetization**: 0.18 μB/f.u.
**Density of states at the Fermi level**: 15.018 states/eV/cell


Entry 8:
# Yb2ZnHg

Yb2ZnHg after structural relaxation (PBE-GGA, the Alexandria database).

Cell lengths 5.207, 5.207, 5.207 Å; angles 60.00, 60.00, 60.00 degrees
Sites, in units of the cell vectors:
1 Yb 0.250 0.250 0.250
2 Yb 0.750 0.750 0.750
3 Zn 0.000 0.000 0.000
4 Hg 0.500 0.500 0.500

**ΔH_f (0 K)**: -1.89 eV/f.u.
**Spin magnetization**: 0.36 μB/f.u.
**Density of states at the Fermi level**: 27.247 states/eV/cell


Entry 9:
# ZnHg

ZnHg after structural relaxation (PBE-GGA, the Alexandria database).

Cell lengths 6.980, 6.980, 6.980 Å; angles 95.08, 95.08, 145.39 degrees
Sites, in units of the cell vectors:
1 Zn 0.093 0.397 0.491
2 Zn 0.397 0.907 0.304
3 Zn 0.603 0.093 0.696
4 Zn 0.907 0.603 0.509
5 Hg 0.123 0.808 0.932
6 Hg 0.192 0.123 0.315
7 Hg 0.808 0.877 0.685
8 Hg 0.877 0.192 0.068

**ΔH_f (0 K)**: 0.22 eV/f.u.
**Spin magnetization**: 0.00 μB/f.u.
**Density of states at the Fermi level**: 2.285 states/eV/cell


Entry 10:
# ZnHg

ZnHg after structural relaxation (PBE-GGA, the Alexandria database).

Cell lengths 3.307, 3.307, 4.181 Å; angles 90.00, 90.00, 111.02 degrees
Sites, in units of the cell vectors:
1 Zn 0.000 0.000 0.000
2 Hg 0.500 0.500 0.500

**ΔH_f (0 K)**: 0.31 eV/f.u.
**Spin magnetization**: 0.00 μB/f.u.
**Density of states at the Fermi level**: 0.675 states/eV/cell


Entry 11:
# ZnHg

ZnHg after structural relaxation (PBE-GGA, the Alexandria database).

Cell lengths 4.414, 4.414, 4.414 Å; angles 60.00, 60.00, 60.00 degrees
Sites, in units of the cell vectors:
1 Zn 0.000 0.000 0.000
2 Hg 0.750 0.750 0.750

**ΔH_f (0 K)**: 0.58 eV/f.u.
**Spin magnetization**: 0.00 μB/f.u.
**Density of states at the Fermi level**: 1.404 states/eV/cell


Entry 12:
# ZnHg

ZnHg after structural relaxation (PBE-GGA, the Alexandria database).

Cell lengths 5.463, 5.463, 5.463 Å; angles 90.00, 90.00, 90.00 degrees
Sites, in units of the cell vectors:
1 Zn 0.101 0.101 0.101
2 Zn 0.399 0.899 0.601
3 Zn 0.601 0.399 0.899
4 Zn 0.899 0.601 0.399
5 Hg 0.090 0.590 0.910
6 Hg 0.410 0.410 0.410
7 Hg 0.590 0.910 0.090
8 Hg 0.910 0.090 0.590

**ΔH_f (0 K)**: 0.28 eV/f.u.
**Spin magnetization**: 0.00 μB/f.u.
**Density of states at the Fermi level**: 1.406 states/eV/cell